(1)
Density functional theory data (PBE) for a relaxed TbSc3H crystal.

SG: Pm-3m, No. 221

Geometry as CIF:
```
data_TbSc3H
_symmetry_space_group_name_H-M 'P 1'
_symmetry_Int_Tables_number 1
_cell_length_a 4.6738
_cell_length_b 4.6738
_cell_length_c 4.6738
_cell_angle_alpha 90.00
_cell_angle_beta 90.00
_cell_angle_gamma 90.00
loop_
_symmetry_equiv_pos_as_xyz
'x,y,z'
loop_
_atom_site_label
_atom_site_type_symbol
_atom_site_fract_x
_atom_site_fract_y
_atom_site_fract_z
_atom_site_occupancy
Sc1 Sc 0.0000 0.5000 0.0000 1
Sc2 Sc 0.0000 0.0000 0.5000 1
Sc3 Sc 0.5000 0.0000 0.0000 1
H1 H 0.0000 0.0000 0.0000 1
Tb1 Tb 0.5000 0.5000 0.5000 1
```



(2)
Density functional theory data (PBE) for a relaxed CaTcCl2 crystal.

Energy relative to the elements, uncorrected (kJ/mol of atoms): -24.7
SG: I-4m2, No. 119

Geometry as CIF:
```
data_CaTcCl2
_symmetry_space_group_name_H-M 'P 1'
_symmetry_Int_Tables_number 1
_cell_length_a 6.6010
_cell_length_b 6.6010
_cell_length_c 6.6010
_cell_angle_alpha 146.32
_cell_angle_beta 146.32
_cell_angle_gamma 48.38
loop_
_symmetry_equiv_pos_as_xyz
'x,y,z'
loop_
_atom_site_label
_atom_site_type_symbol
_atom_site_fract_x
_atom_site_fract_y
_atom_site_fract_z
_atom_site_occupancy
Ca1 Ca 0.7500 0.2500 0.5000 1
Tc1 Tc 0.5000 0.5000 0.0000 1
Cl1 Cl 0.0000 0.0000 0.0000 1
Cl2 Cl 0.2500 0.7500 0.5000 1
```



(3)
Density functional theory data (PBE) for a relaxed Ho6Tl5In crystal.

SG: Cmmm, No. 65
DFT formation energy (eV per atom): -0.345

Geometry as CIF:
```
data_Ho6Tl5In
_symmetry_space_group_name_H-M 'P 1'
_symmetry_Int_Tables_number 1
_cell_length_a 5.3741
_cell_length_b 7.4430
_cell_length_c 8.4962
_cell_angle_alpha 90.00
_cell_angle_beta 71.56
_cell_angle_gamma 90.01
loop_
_symmetry_equiv_pos_as_xyz
'x,y,z'
loop_
_atom_site_label
_atom_site_type_symbol
_atom_site_fract_x
_atom_site_fract_y
_atom_site_fract_z
_atom_site_occupancy
Tl1 Tl 0.6669 0.5000 0.6662 1
Tl2 Tl 0.3332 0.0000 0.3336 1
Tl3 Tl 0.0000 0.5000 0.0000 1
Tl4 Tl 0.6668 0.0000 0.6664 1
Tl5 Tl 0.3331 0.5000 0.3338 1
Ho1 Ho 0.8338 0.7505 0.3323 1
Ho2 Ho 0.8338 0.2495 0.3323 1
Ho3 Ho 0.5000 0.2490 0.0000 1
Ho4 Ho 0.5000 0.7510 0.0000 1
Ho5 Ho 0.1662 0.7505 0.6677 1
Ho6 Ho 0.1662 0.2495 0.6677 1
In1 In 0.0000 0.0000 0.0000 1
```



(4)
Density functional theory data (PBE) for a relaxed RbTl2Au crystal.

SG: Fm-3m, No. 225
DFT formation energy (eV per atom): 0.045

Geometry as CIF:
```
data_RbTl2Au
_symmetry_space_group_name_H-M 'P 1'
_symmetry_Int_Tables_number 1
_cell_length_a 5.5519
_cell_length_b 5.5519
_cell_length_c 5.5519
_cell_angle_alpha 60.00
_cell_angle_beta 60.00
_cell_angle_gamma 60.00
loop_
_symmetry_equiv_pos_as_xyz
'x,y,z'
loop_
_atom_site_label
_atom_site_type_symbol
_atom_site_fract_x
_atom_site_fract_y
_atom_site_fract_z
_atom_site_occupancy
Tl1 Tl 0.2500 0.2500 0.2500 1
Tl2 Tl 0.7500 0.7500 0.7500 1
Au1 Au 0.5000 0.5000 0.5000 1
Rb1 Rb 0.0000 0.0000 0.0000 1
```



no.,VASP energy (eV/cell)
1,-27.6
2,-17.1
3,-46.2
4,-8.8